[1]
Compound: In2SbRh
Source: Alexandria
Functional: GGA-PBE
Structure: relaxed

Calculated values
As for the crystal system: monoclinic. The calculation puts the uncorrected formation energy at -0.19 eV/atom. The space-group type is Pm (6). The total energy is -17.71 eV per cell.

Cell lengths 3.280, 5.163, 6.460 Å; angles 66.32, 90.00, 90.00 degrees
Positions (direct):
In 0.000 0.016 0.967
In 0.500 0.679 0.641
Sb 0.500 0.316 0.369
Rh 0.000 0.489 0.022


[2]
Compound: CeEr3Sc6
Source: Alexandria
Functional: GGA-PBE
Structure: relaxed

Calculated values
As for the crystal system: orthorhombic. The formation energy comes out at 0.154 eV per atom. The space-group type is Cmc2_1 (36). The total energy is -112.15 eV per cell.

Cell lengths 8.509, 8.434, 8.434 Å; angles 116.56, 90.00, 90.00 degrees
Last column: magnetic moment on the atom in μB.
Positions (direct):
Ce 0.084 0.271 0.729  0.61
Ce 0.584 0.729 0.271  0.61
Er 0.494 0.821 0.695  0.01
Er 0.994 0.695 0.821  0.01
Er 0.308 0.449 0.551  0.02
Er 0.808 0.551 0.449  0.02
Er 0.994 0.179 0.305  0.01
Er 0.494 0.305 0.179  0.01
Sc 0.164 0.821 0.528  0.00
Sc 0.664 0.528 0.821  0.00
Sc 0.327 0.676 0.975  0.04
Sc 0.827 0.975 0.676  0.04
Sc 0.184 0.052 0.948  0.00
Sc 0.441 0.222 0.778  0.00
Sc 0.941 0.778 0.222  0.00
Sc 0.684 0.948 0.052  0.00
Sc 0.327 0.025 0.324  0.04
Sc 0.827 0.324 0.025  0.04
Sc 0.164 0.472 0.179  0.00
Sc 0.664 0.179 0.472  0.00


[3]
Compound: Zr2AgCl
Source: Alexandria
Functional: GGA-PBE
Structure: relaxed

Calculated values
As for the crystal system: orthorhombic. The calculation puts the uncorrected formation energy at -0.19 eV/atom. The space-group type is Imm2 (44). The total energy is -22.54 eV per cell.

Cell lengths 6.056, 6.056, 4.952 Å; angles 65.86, 65.86, 30.15 degrees
Positions (direct):
Ag 0.490 0.490 0.510
Cl 0.724 0.724 0.775
Zr 0.016 0.016 0.984
Zr 0.269 0.269 0.231


[4]
Compound: Pm2Y4Tl3H2
Source: Alexandria
Functional: GGA-PBE
Structure: relaxed

Calculated values
As for the crystal system: tetragonal. The space-group type is I4/mmm (139). The total energy is -52.68 eV per cell.

Cell lengths 4.801, 4.801, 12.787 Å; angles 100.82, 100.82, 90.00 degrees
Positions (direct):
Pm 0.303 0.303 0.606
Pm 0.697 0.697 0.394
Y 0.417 0.917 0.835
Y 0.917 0.417 0.835
Y 0.083 0.583 0.165
Y 0.583 0.083 0.165
Tl 0.000 0.000 0.000
Tl 0.171 0.171 0.343
Tl 0.829 0.829 0.657
H 0.401 0.401 0.802
H 0.599 0.599 0.198


[5]
Compound: Ac6TlGe3
Source: Alexandria
Functional: GGA-PBE
Structure: relaxed

Calculated values
As for the crystal system: monoclinic. The formation energy comes out at -0.410 eV per atom. The space-group type is P2_1/c (14). The total energy is -89.93 eV per cell.

Cell lengths 7.834, 8.771, 10.988 Å; angles 90.00, 92.76, 90.00 degrees
Positions (direct):
Ac 0.652 0.188 0.920
Ac 0.675 0.166 0.572
Ac 0.694 0.412 0.244
Ac 0.306 0.588 0.756
Ac 0.325 0.834 0.428
Ac 0.348 0.812 0.080
Ac 0.152 0.312 0.420
Ac 0.175 0.334 0.072
Ac 0.194 0.088 0.744
Ac 0.806 0.912 0.256
Ac 0.825 0.666 0.928
Ac 0.848 0.688 0.580
Tl 0.500 0.500 0.500
Tl 0.000 0.000 0.000
Ge 0.549 0.888 0.742
Ge 0.500 0.500 0.000
Ge 0.451 0.112 0.258
Ge 0.049 0.612 0.242
Ge 0.000 0.000 0.500
Ge 0.951 0.388 0.758


[6]
Compound: TeAs3H
Source: Alexandria
Functional: GGA-PBE
Structure: relaxed

Calculated values
As for the crystal system: cubic. The space-group type is Pm-3m (221). The total energy is -13.06 eV per cell.

Cell lengths 5.413, 5.413, 5.413 Å; angles 90.00, 90.00, 90.00 degrees
Last column: magnetic moment on the atom in μB.
Positions (direct):
H 0.500 0.500 0.500  0.35
As 0.000 0.500 0.000  -0.08
As 0.000 0.000 0.500  -0.18
As 0.500 0.000 0.000  -0.04
Te 0.000 0.000 0.000  0.00


[7]
Compound: ZnOs3Ru
Source: Alexandria
Functional: GGA-PBE
Structure: relaxed

Calculated values
As for the crystal system: cubic. The formation energy comes out at 2.232 eV per atom. The space-group type is Pm-3m (221). The total energy is -33.08 eV per cell.

Cell lengths 4.397, 4.397, 4.397 Å; angles 90.00, 90.00, 90.00 degrees
Positions (direct):
Ru 0.500 0.500 0.500
Zn 0.000 0.000 0.000
Os 0.000 0.500 0.000
Os 0.000 0.000 0.500
Os 0.500 0.000 0.000


[8]
Compound: Tb3Cd2Pd8
Source: Alexandria
Functional: GGA-PBE
Structure: relaxed

Calculated values
As for the crystal system: trigonal. The formation energy comes out at -0.526 eV per atom. The space-group type is R-3m (166). The total energy is -64.10 eV per cell.

Cell lengths 5.410, 5.410, 10.677 Å; angles 75.32, 75.32, 60.00 degrees
Positions (direct):
Tb 0.000 0.000 0.000
Tb 0.810 0.810 0.569
Tb 0.190 0.190 0.431
Cd 0.635 0.635 0.096
Cd 0.365 0.365 0.904
Pd 0.720 0.720 0.841
Pd 0.280 0.280 0.159
Pd 0.225 0.730 0.314
Pd 0.730 0.225 0.314
Pd 0.730 0.730 0.314
Pd 0.270 0.775 0.686
Pd 0.775 0.270 0.686
Pd 0.270 0.270 0.686


[9]
Compound: Pr2ReN
Source: Alexandria
Functional: GGA-PBE
Structure: relaxed

Calculated values
As for the crystal system: trigonal. The calculation puts the uncorrected formation energy at 0.33 eV/atom. The space-group type is R-3m (166). The total energy is -29.01 eV per cell.

Cell lengths 3.325, 3.325, 9.068 Å; angles 79.44, 79.44, 60.00 degrees
Positions (direct):
Pr 0.109 0.109 0.673
Pr 0.891 0.891 0.327
Re 0.000 0.000 0.000
N 0.500 0.500 0.500


[10]
Compound: Ba2Mg2O
Source: Alexandria
Functional: GGA-PBE
Structure: relaxed

Calculated values
As for the crystal system: tetragonal. The calculation puts the uncorrected formation energy at -0.29 eV/atom. The space-group type is I4/mmm (139). The total energy is -13.43 eV per cell.

Cell lengths 7.135, 7.135, 6.149 Å; angles 54.53, 54.53, 90.00 degrees
Last column: magnetic moment on the atom in μB.
Positions (direct):
Mg 0.274 0.274 0.452  0.02
Mg 0.726 0.726 0.548  0.02
Ba 0.750 0.250 0.500  0.25
Ba 0.250 0.750 0.500  0.25
O 0.000 0.000 0.000  0.02


[11]
Compound: Al2Cu2Bi
Source: Alexandria
Functional: GGA-PBE
Structure: relaxed

Calculated values
As for the crystal system: tetragonal. The formation energy comes out at 0.164 eV per atom. The space-group type is P4/mbm (127). The total energy is -37.48 eV per cell.

Cell lengths 7.853, 7.853, 2.879 Å; angles 90.00, 90.00, 90.00 degrees
Positions (direct):
Bi 0.000 0.000 0.000
Bi 0.500 0.500 0.000
Cu 0.166 0.666 0.500
Cu 0.666 0.834 0.500
Cu 0.834 0.334 0.500
Cu 0.334 0.166 0.500
Al 0.375 0.875 0.000
Al 0.875 0.625 0.000
Al 0.625 0.125 0.000
Al 0.125 0.375 0.000


[12]
Compound: CdNi2As
Source: Alexandria
Functional: GGA-PBE
Structure: relaxed

Calculated values
As for the crystal system: tetragonal. The formation energy comes out at -0.031 eV per atom. The space-group type is P4mm (99). The total energy is -17.25 eV per cell.

Cell lengths 3.129, 3.129, 6.331 Å; angles 90.00, 90.00, 90.00 degrees
Positions (direct):
As 0.000 0.000 0.414
Cd 0.500 0.500 0.794
Ni 0.000 0.000 0.038
Ni 0.500 0.500 0.255


[13]
Compound: K2ZrPb
Source: Alexandria
Functional: GGA-PBE
Structure: relaxed

Calculated values
As for the crystal system: orthorhombic. The formation energy comes out at 0.517 eV per atom. The space-group type is Cmmm (65). The total energy is -12.38 eV per cell.

Cell lengths 3.334, 3.334, 13.174 Å; angles 90.00, 90.00, 113.99 degrees
Positions (direct):
K 0.000 0.000 0.008
K 0.000 0.000 0.492
Pb 0.500 0.500 0.250
Zr 0.500 0.500 0.750


[14]
Compound: Tl3Cd2Hg7
Source: Alexandria
Functional: GGA-PBE
Structure: relaxed

Calculated values
As for the crystal system: monoclinic. The formation energy comes out at 0.008 eV per atom. The space-group type is P2/m (10). The total energy is -10.95 eV per cell.

Cell lengths 3.445, 6.326, 15.747 Å; angles 74.82, 90.00, 90.00 degrees
Positions (direct):
Tl 0.500 0.500 0.000
Tl 0.000 0.119 0.335
Tl 0.000 0.881 0.665
Cd 0.500 0.629 0.326
Cd 0.500 0.371 0.674
Hg 0.500 0.745 0.502
Hg 0.500 0.255 0.498
Hg 0.000 0.569 0.169
Hg 0.000 0.000 0.000
Hg 0.000 0.431 0.831
Hg 0.500 0.943 0.835
Hg 0.500 0.057 0.165


[15]
Compound: AlCoTe2
Source: Alexandria
Functional: GGA-PBE
Structure: relaxed

Calculated values
As for the crystal system: trigonal. The calculation puts the uncorrected formation energy at -0.01 eV/atom. The space-group type is R3m (160). The total energy is -17.19 eV per cell.

Cell lengths 7.230, 7.230, 7.230 Å; angles 31.47, 31.47, 31.47 degrees
Positions (direct):
Te 0.036 0.036 0.036
Te 0.225 0.225 0.225
Co 0.754 0.754 0.754
Al 0.484 0.484 0.484